Crystalline TbEr5Tl6 at its relaxed geometry. Source: Alexandria via LeMat-Bulk, functional PBE.

Properties
Energy of formation from the pure elements (eV per atom): -0.24
Spin magnetization (μB per cell): 0.00
Energy above the lowest structure with this stoichiometry (meV/atom): 74
VASP energy (eV/atom): -3.713
Symmetry: C2/m

a = 6.4613 Å, b = 9.8241 Å, c = 7.4364 Å
α = 48.66°, β = 81.61°, γ = 77.23°
Atoms (fractional coordinates):
Er 0.0000 0.6658 0.6685
Tl 0.7484 0.0829 0.3357
Tl 0.2516 0.9171 0.6643
Er 0.5000 0.8333 0.3334
Tb 0.0000 0.0000 0.0000
Er 0.5000 0.1667 0.6666
Tl 0.7471 0.7495 0.0000
Tl 0.2516 0.5814 0.3357
Tl 0.7484 0.4186 0.6643
Er 0.0000 0.3342 0.3315
Er 0.5000 0.5000 0.0000
Tl 0.2529 0.2505 0.0000